Arrangement a

Entry from the Alexandria database: a relaxed structure of LiSc2Tc (PBE).

**Crystal system**: tetragonal

CIF file:
```
data_LiSc2Tc
_cell_length_a 3.565
_cell_length_b 3.565
_cell_length_c 5.831
_cell_angle_alpha 90.00
_cell_angle_beta 90.00
_cell_angle_gamma 90.00
_symmetry_space_group_name_H-M 'P 4 m m'
_symmetry_Int_Tables_number 99
_symmetry_space_group_name_Hall 'P 4 -2'
loop_
_atom_site_label
_atom_site_type_symbol
_atom_site_fract_x
_atom_site_fract_y
_atom_site_fract_z
_atom_site_occupancy
Li1 Li 0.000 0.000 0.000 1
Sc1 Sc 0.000 0.000 0.567 1
Sc2 Sc 0.500 0.500 0.249 1
Tc1 Tc 0.500 0.500 0.743 1
```


Arrangement b

Entry from the Alexandria database: a relaxed structure of LiSc2Tc (PBE).

**Crystal system**: monoclinic

CIF file:
```
data_LiSc2Tc
_cell_length_a 3.291
_cell_length_b 3.296
_cell_length_c 7.364
_cell_angle_alpha 90.00
_cell_angle_beta 90.35
_cell_angle_gamma 90.00
_symmetry_space_group_name_H-M 'P 1 2/m 1'
_symmetry_Int_Tables_number 10
_symmetry_space_group_name_Hall '-P 2y'
loop_
_atom_site_label
_atom_site_type_symbol
_atom_site_fract_x
_atom_site_fract_y
_atom_site_fract_z
_atom_site_occupancy
Li1 Li 0.000 0.000 0.000 1
Sc1 Sc 0.499 0.500 0.704 1
Tc1 Tc 0.000 0.000 0.500 1
```


Arrangement c

Entry from the Alexandria database: a relaxed structure of LiSc2Tc (PBE).

**Crystal system**: orthorhombic

CIF file:
```
data_LiSc2Tc
_cell_length_a 2.953
_cell_length_b 4.454
_cell_length_c 5.695
_cell_angle_alpha 90.00
_cell_angle_beta 90.00
_cell_angle_gamma 90.00
_symmetry_space_group_name_H-M 'P m m 2'
_symmetry_Int_Tables_number 25
_symmetry_space_group_name_Hall 'P 2 -2'
loop_
_atom_site_label
_atom_site_type_symbol
_atom_site_fract_x
_atom_site_fract_y
_atom_site_fract_z
_atom_site_occupancy
Li1 Li 0.000 0.000 0.000 1
Sc1 Sc 0.000 0.000 0.547 1
Sc2 Sc 0.500 0.500 0.228 1
Tc1 Tc 0.500 0.500 0.715 1
```


Arrangement d

Entry from the Alexandria database: a relaxed structure of LiSc2Tc (PBE).

**Crystal system**: trigonal

CIF file:
```
data_LiSc2Tc
_cell_length_a 3.1925
_cell_length_b 3.1925
_cell_length_c 29.5858
_cell_angle_alpha 90.00
_cell_angle_beta 90.00
_cell_angle_gamma 120.00
_symmetry_space_group_name_H-M 'R -3 m'
_symmetry_Int_Tables_number 166
_symmetry_space_group_name_Hall '-R 3 2"'
loop_
_atom_site_label
_atom_site_type_symbol
_atom_site_fract_x
_atom_site_fract_y
_atom_site_fract_z
_atom_site_occupancy
Li1 Li 0.0000 0.0000 0.0000 1
Sc1 Sc 0.0000 0.0000 0.1011 1
Tc1 Tc 0.0000 0.0000 0.5000 1
```


Tell me which of them is the least stable. Sure, it is arrangement c.


Arrangement a

Entry from the Alexandria database: a relaxed structure of LiSc2Tc (PBE).

**Crystal system**: orthorhombic

CIF file:
```
data_LiSc2Tc
_cell_length_a 3.305
_cell_length_b 4.867
_cell_length_c 9.631
_cell_angle_alpha 90.00
_cell_angle_beta 90.00
_cell_angle_gamma 90.00
_symmetry_space_group_name_H-M 'C m m 2'
_symmetry_Int_Tables_number 35
_symmetry_space_group_name_Hall 'C 2 -2'
loop_
_atom_site_label
_atom_site_type_symbol
_atom_site_fract_x
_atom_site_fract_y
_atom_site_fract_z
_atom_site_occupancy
Li1 Li 0.000 0.000 0.000 1
Sc1 Sc 0.000 0.000 0.576 1
Sc2 Sc 0.000 0.500 0.278 1
Tc1 Tc 0.000 0.500 0.781 1
```


Arrangement b

Entry from the Alexandria database: a relaxed structure of LiSc2Tc (PBE).

**Crystal system**: tetragonal

CIF file:
```
data_LiSc2Tc
_cell_length_a 7.470
_cell_length_b 7.470
_cell_length_c 11.083
_cell_angle_alpha 90.00
_cell_angle_beta 90.00
_cell_angle_gamma 90.00
_symmetry_space_group_name_H-M 'I 41/a m d'
_symmetry_Int_Tables_number 141
loop_
_symmetry_equiv_pos_as_xyz
'x,y,z'
'-x,-y,-z'
'-y+1/4,x+3/4,z+1/4'
'y+1/4,-x+3/4,-z+1/4'
'-x+1/2,-y,z+1/2'
'x+1/2,y,-z+1/2'
'y+1/4,-x+1/4,z+3/4'
'-y+1/4,x+1/4,-z+3/4'
'x,-y,-z'
'-x,y,z'
'-y+1/4,-x+1/4,-z+3/4'
'y+1/4,x+1/4,z+3/4'
'-x+1/2,y,-z+1/2'
'x+1/2,-y,z+1/2'
'y+1/4,x+3/4,-z+1/4'
'-y+1/4,-x+3/4,z+1/4'
'x+1/2,y+1/2,z+1/2'
'-x+1/2,-y+1/2,-z+1/2'
'-y+3/4,x+1/4,z+3/4'
'y+3/4,-x+1/4,-z+3/4'
'-x,-y+1/2,z'
'x,y+1/2,-z'
'y+3/4,-x+3/4,z+1/4'
'-y+3/4,x+3/4,-z+1/4'
'x+1/2,-y+1/2,-z+1/2'
'-x+1/2,y+1/2,z+1/2'
'-y+3/4,-x+3/4,-z+1/4'
'y+3/4,x+3/4,z+1/4'
'-x,y+1/2,-z'
'x,-y+1/2,z'
'y+3/4,x+1/4,-z+3/4'
'-y+3/4,-x+1/4,z+3/4'
loop_
_atom_site_label
_atom_site_type_symbol
_atom_site_fract_x
_atom_site_fract_y
_atom_site_fract_z
_atom_site_occupancy
Li1 Li 0.000 0.250 0.375 1
Sc1 Sc 0.000 0.000 0.000 1
Tc1 Tc 0.000 0.250 0.875 1
```


Arrangement c

Entry from the Alexandria database: a relaxed structure of LiSc2Tc (PBE).

**Crystal system**: monoclinic

CIF file:
```
data_LiSc2Tc
_cell_length_a 9.736
_cell_length_b 3.332
_cell_length_c 4.707
_cell_angle_alpha 90.00
_cell_angle_beta 106.48
_cell_angle_gamma 90.00
_symmetry_space_group_name_H-M 'C 1 m 1'
_symmetry_Int_Tables_number 8
_symmetry_space_group_name_Hall 'C -2y'
loop_
_atom_site_label
_atom_site_type_symbol
_atom_site_fract_x
_atom_site_fract_y
_atom_site_fract_z
_atom_site_occupancy
Li1 Li 0.000 0.000 0.000 1
Sc1 Sc 0.241 0.000 0.801 1
Sc2 Sc 0.456 0.000 0.444 1
Tc1 Tc 0.221 0.500 0.300 1
```


Tell me which of them is the least stable. Sure, it is arrangement b.


Arrangement a

Entry from the Alexandria database: a relaxed structure of Li2ScTe2 (PBE).

**Crystal system**: tetragonal

CIF file:
```
data_Li2ScTe2
_cell_length_a 7.792
_cell_length_b 7.792
_cell_length_c 4.043
_cell_angle_alpha 90.00
_cell_angle_beta 90.00
_cell_angle_gamma 90.00
_symmetry_space_group_name_H-M 'P 4/m b m'
_symmetry_Int_Tables_number 127
_symmetry_space_group_name_Hall '-P 4 2ab'
loop_
_atom_site_label
_atom_site_type_symbol
_atom_site_fract_x
_atom_site_fract_y
_atom_site_fract_z
_atom_site_occupancy
Li1 Li 0.137 0.363 0.000 1
Sc1 Sc 0.000 0.000 0.500 1
Te1 Te 0.174 0.674 0.500 1
```


Arrangement b

Entry from the Alexandria database: a relaxed structure of Li2ScTe2 (PBE).

**Crystal system**: tetragonal

CIF file:
```
data_Li2ScTe2
_cell_length_a 3.890
_cell_length_b 3.890
_cell_length_c 14.540
_cell_angle_alpha 90.00
_cell_angle_beta 90.00
_cell_angle_gamma 90.00
_symmetry_space_group_name_H-M 'I 4/m m m'
_symmetry_Int_Tables_number 139
_symmetry_space_group_name_Hall '-I 4 2'
loop_
_atom_site_label
_atom_site_type_symbol
_atom_site_fract_x
_atom_site_fract_y
_atom_site_fract_z
_atom_site_occupancy
Li1 Li 0.000 0.500 0.250 1
Sc1 Sc 0.000 0.000 0.000 1
Te1 Te 0.000 0.000 0.384 1
```


Tell me which of them is the least stable. Sure, it is arrangement b.


Arrangement a

Entry from the Alexandria database: a relaxed structure of LiSc2Te2 (PBE).

**Crystal system**: tetragonal

CIF file:
```
data_LiSc2Te2
_cell_length_a 7.972
_cell_length_b 7.972
_cell_length_c 3.797
_cell_angle_alpha 90.00
_cell_angle_beta 90.00
_cell_angle_gamma 90.00
_symmetry_space_group_name_H-M 'P 4/m b m'
_symmetry_Int_Tables_number 127
_symmetry_space_group_name_Hall '-P 4 2ab'
loop_
_atom_site_label
_atom_site_type_symbol
_atom_site_fract_x
_atom_site_fract_y
_atom_site_fract_z
_atom_site_occupancy
Li1 Li 0.000 0.000 0.000 1
Sc1 Sc 0.138 0.362 0.000 1
Te1 Te 0.160 0.660 0.500 1
```


Arrangement b

Entry from the Alexandria database: a relaxed structure of LiSc2Te2 (PBE).

**Crystal system**: tetragonal

CIF file:
```
data_LiSc2Te2
_cell_length_a 7.808
_cell_length_b 7.808
_cell_length_c 3.849
_cell_angle_alpha 90.00
_cell_angle_beta 90.00
_cell_angle_gamma 90.00
_symmetry_space_group_name_H-M 'P 4/m b m'
_symmetry_Int_Tables_number 127
_symmetry_space_group_name_Hall '-P 4 2ab'
loop_
_atom_site_label
_atom_site_type_symbol
_atom_site_fract_x
_atom_site_fract_y
_atom_site_fract_z
_atom_site_occupancy
Li1 Li 0.000 0.000 0.000 1
Sc1 Sc 0.142 0.358 0.500 1
Te1 Te 0.157 0.657 0.000 1
```


Tell me which of them is the least stable. Sure, it is arrangement a.